{
  "formula": "K2RbUS4",
  "functional": "PBE-GGA",
  "state": "optimized geometry",
  "cell": [[7.738, 0.000, 0.000], [0.000, 4.209, 0.000], [-2.860, 0.000, 7.452]],
  "species": ["K", "K", "Rb", "U", "S", "S", "S", "S"],
  "fractional_positions": [[0.000, 0.000, 0.000], [0.000, 0.500, 0.500], [0.500, 0.000, 0.500], [0.500, 0.500, 0.000], [0.296, 0.000, 0.801], [0.299, 0.500, 0.188], [0.701, 0.500, 0.812], [0.704, 0.000, 0.199]],
  "n_ef_per_ev_cell": 5.030,
  "e_form_raw_mev_per_atom": -1309
}

***

{
  "formula": "LiSm2Pu3S6",
  "functional": "PBE-GGA",
  "state": "optimized geometry",
  "cell": [[3.437, -5.952, 0.000], [3.437, 5.952, 0.000], [-2.297, 0.000, 6.463]],
  "species": ["Li", "Sm", "Sm", "Pu", "Pu", "Pu", "S", "S", "S", "S", "S", "S"],
  "fractional_positions": [[0.000, 0.000, 0.000], [0.334, 0.666, 0.000], [0.666, 0.334, 0.000], [0.168, 0.832, 0.500], [0.500, 0.500, 0.500], [0.832, 0.168, 0.500], [0.083, 0.410, 0.250], [0.244, 0.244, 0.749], [0.410, 0.083, 0.250], [0.590, 0.917, 0.750], [0.756, 0.756, 0.251], [0.917, 0.590, 0.750]],
  "n_ef_per_ev_cell": 22.545,
  "e_form_raw_mev_per_atom": -1808
}

***

{
  "formula": "Ga2TePbSe6",
  "functional": "PBE-GGA",
  "state": "optimized geometry",
  "cell": [[7.126, -5.334, 0.000], [7.126, 5.334, 0.000], [-3.047, 0.000, 7.355]],
  "species": ["Ga", "Ga", "Ga", "Ga", "Te", "Te", "Pb", "Pb", "Se", "Se", "Se", "Se", "Se", "Se", "Se", "Se", "Se", "Se", "Se", "Se"],
  "fractional_positions": [[0.130, 0.287, 0.198], [0.287, 0.130, 0.698], [0.713, 0.870, 0.302], [0.870, 0.713, 0.802], [0.247, 0.753, 0.250], [0.753, 0.247, 0.750], [0.327, 0.673, 0.750], [0.673, 0.327, 0.250], [0.077, 0.190, 0.430], [0.133, 0.552, 0.912], [0.190, 0.077, 0.930], [0.326, 0.473, 0.348], [0.448, 0.867, 0.588], [0.473, 0.326, 0.848], [0.527, 0.674, 0.152], [0.552, 0.133, 0.412], [0.674, 0.527, 0.652], [0.810, 0.923, 0.070], [0.867, 0.448, 0.088], [0.923, 0.810, 0.570]],
  "e_form_raw_mev_per_atom": -297
}

***

{
  "formula": "BaTb2AgS4",
  "functional": "PBE-GGA",
  "state": "optimized geometry",
  "cell": [[2.052, -6.785, 0.000], [2.052, 6.785, 0.000], [0.000, 0.000, 13.942]],
  "species": ["Ba", "Ba", "Tb", "Tb", "Tb", "Tb", "Ag", "Ag", "S", "S", "S", "S", "S", "S", "S", "S"],
  "fractional_positions": [[0.125, 0.875, 0.750], [0.875, 0.125, 0.250], [0.375, 0.625, 0.558], [0.375, 0.625, 0.942], [0.625, 0.375, 0.058], [0.625, 0.375, 0.442], [0.149, 0.851, 0.250], [0.851, 0.149, 0.750], [0.000, 0.000, 0.000], [0.000, 0.000, 0.500], [0.266, 0.734, 0.108], [0.266, 0.734, 0.392], [0.453, 0.547, 0.750], [0.547, 0.453, 0.250], [0.734, 0.266, 0.608], [0.734, 0.266, 0.892]],
  "n_ef_per_ev_cell": 2.477,
  "e_form_raw_mev_per_atom": -1685
}